# 1
! BeSb2TeSe, relaxed, DFT GGA-PBE; values from VASP
&SYSTEM
  ibrav = 0, nat = 5, ntyp = 4
/
ATOMIC_SPECIES
Sb 121.76 Sb.upf
Te 127.60 Te.upf
Se 78.96 Se.upf
Be 9.01 Be.upf
ATOMIC_POSITIONS crystal
Sb 0.000 0.500 0.000
Sb 0.500 0.000 0.000
Te 0.000 0.000 0.500
Se 0.500 0.500 0.500
Be 0.000 0.000 0.000
CELL_PARAMETERS angstrom
-1.127 -4.854 0.814
1.121 -1.066 -4.807
4.518 -0.841 1.240
! Energy, eV/atom: -3.2486
! DOS(E_F), states/eV/cell: 4.00
! Total magnetization, μB per formula unit: 0.0
! E_form (uncorrected), eV per atom: 0.471
! SG: P4/mmm (123)
! Excess energy over the best structure of this formula in the dataset, meV per atom: 0

=====

# 2
! BeTl2SbSe4, relaxed, DFT GGA-PBE; values from VASP
&SYSTEM
  ibrav = 0, nat = 8, ntyp = 4
/
ATOMIC_SPECIES
Be 9.01 Be.upf
Tl 204.38 Tl.upf
Sb 121.76 Sb.upf
Se 78.96 Se.upf
ATOMIC_POSITIONS crystal
Be 0.998 0.498 0.996
Tl 0.450 0.950 0.900
Tl 0.185 0.185 0.370
Sb 0.709 0.709 0.418
Se 0.723 0.602 0.768
Se 0.929 0.456 0.276
Se 0.347 0.819 0.276
Se 0.046 0.167 0.769
CELL_PARAMETERS angstrom
-7.243 2.432 -0.281
-0.642 -4.326 5.282
4.926 4.196 0.284
! Energy, eV/atom: -3.6788
! DOS(E_F), states/eV/cell: 1.34
! Total magnetization, μB per formula unit: 0.0
! E_form (uncorrected), eV per atom: -0.364
! SG: C2 (5)

=====

# 3
! BeVSb2Se, relaxed, DFT GGA-PBE; values from VASP
&SYSTEM
  ibrav = 0, nat = 5, ntyp = 4
/
ATOMIC_SPECIES
Sb 121.76 Sb.upf
Be 9.01 Be.upf
Se 78.96 Se.upf
V 50.94 V.upf
ATOMIC_POSITIONS crystal
Sb 0.000 0.000 0.500
Sb 0.500 0.000 0.000
Be 0.500 0.500 0.500
Se 0.000 0.000 0.000
V 0.000 0.500 0.000
CELL_PARAMETERS angstrom
5.478 0.000 0.000
0.000 4.488 0.000
0.000 0.000 5.478
! Energy, eV/atom: -3.7085
! DOS(E_F), states/eV/cell: 7.02
! Total magnetization, μB per formula unit: 0.1
! E_form (uncorrected), eV per atom: 1.206
! SG: P4/mmm (123)

=====

# 4
! BeSi2Sb, relaxed, DFT GGA-PBE; values from VASP
&SYSTEM
  ibrav = 0, nat = 4, ntyp = 3
/
ATOMIC_SPECIES
Sb 121.76 Sb.upf
Si 28.09 Si.upf
Be 9.01 Be.upf
ATOMIC_POSITIONS crystal
Sb 0.000 0.500 0.500
Si 0.000 0.000 0.000
Si 0.500 0.500 0.000
Be 0.500 0.000 0.500
CELL_PARAMETERS angstrom
-2.820 0.478 -2.265
1.405 -2.482 -2.272
-2.582 -3.691 2.435
! Energy, eV/atom: -4.0665
! DOS(E_F), states/eV/cell: 1.68
! Total magnetization, μB per formula unit: 0.0
! E_form (uncorrected), eV per atom: 0.607
! SG: P4/mmm (123)
! Excess energy over the best structure of this formula in the dataset, meV per atom: 292

=====

# 5
! BeSiSb3, relaxed, DFT GGA-PBE; values from VASP
&SYSTEM
  ibrav = 0, nat = 5, ntyp = 3
/
ATOMIC_SPECIES
Sb 121.76 Sb.upf
Si 28.09 Si.upf
Be 9.01 Be.upf
ATOMIC_POSITIONS crystal
Sb 0.000 0.500 0.000
Sb 0.000 0.000 0.500
Sb 0.500 0.000 0.000
Si 0.500 0.500 0.500
Be 0.000 0.000 0.000
CELL_PARAMETERS angstrom
4.897 0.000 0.000
0.000 4.897 0.000
0.000 0.000 4.897
! Energy, eV/atom: -3.6065
! DOS(E_F), states/eV/cell: 3.83
! Total magnetization, μB per formula unit: 0.0
! E_form (uncorrected), eV per atom: 0.697
! SG: Pm-3m (221)
! Excess energy over the best structure of this formula in the dataset, meV per atom: 0

=====

# 6
! BeSi2Sb, relaxed, DFT GGA-PBE; values from VASP
&SYSTEM
  ibrav = 0, nat = 4, ntyp = 3
/
ATOMIC_SPECIES
Sb 121.76 Sb.upf
Si 28.09 Si.upf
Be 9.01 Be.upf
ATOMIC_POSITIONS crystal
Sb 0.500 0.500 0.750
Si 0.000 0.000 0.079
Si 0.000 0.000 0.421
Be 0.500 0.500 0.250
CELL_PARAMETERS angstrom
3.077 -0.061 0.000
-0.736 2.989 0.000
0.000 0.000 7.507
! Energy, eV/atom: -4.1207
! DOS(E_F), states/eV/cell: 1.60
! Total magnetization, μB per formula unit: 0.0
! E_form (uncorrected), eV per atom: 0.553
! SG: Cmmm (65)
! Excess energy over the best structure of this formula in the dataset, meV per atom: 238

=====

# 7
! BeSi2Sb, relaxed, DFT GGA-PBE; values from VASP
&SYSTEM
  ibrav = 0, nat = 4, ntyp = 3
/
ATOMIC_SPECIES
Sb 121.76 Sb.upf
Si 28.09 Si.upf
Be 9.01 Be.upf
ATOMIC_POSITIONS crystal
Sb 0.750 0.750 0.750
Si 0.972 0.972 0.972
Si 0.528 0.528 0.528
Be 0.250 0.250 0.250
CELL_PARAMETERS angstrom
6.358 -0.699 -0.412
5.718 2.866 -0.412
5.718 1.026 2.708
! Energy, eV/atom: -4.2470
! DOS(E_F), states/eV/cell: 1.59
! Total magnetization, μB per formula unit: 0.0
! E_form (uncorrected), eV per atom: 0.427
! SG: R-3m (166)
! Excess energy over the best structure of this formula in the dataset, meV per atom: 112

=====

# 8
! BeSi2Sb, relaxed, DFT GGA-PBE; values from VASP
&SYSTEM
  ibrav = 0, nat = 4, ntyp = 3
/
ATOMIC_SPECIES
Sb 121.76 Sb.upf
Si 28.09 Si.upf
Be 9.01 Be.upf
ATOMIC_POSITIONS crystal
Sb 0.250 0.250 0.250
Si 0.020 0.020 0.906
Si 0.480 0.480 0.594
Be 0.750 0.750 0.750
CELL_PARAMETERS angstrom
-2.933 1.128 -2.427
-1.251 -1.854 -3.281
-4.627 -3.062 1.574
! Energy, eV/atom: -4.2607
! DOS(E_F), states/eV/cell: 1.75
! Total magnetization, μB per formula unit: 0.0
! E_form (uncorrected), eV per atom: 0.413
! SG: C2/m (12)
! Excess energy over the best structure of this formula in the dataset, meV per atom: 98

=====

# 9
! BeSi2Sb, relaxed, DFT GGA-PBE; values from VASP
&SYSTEM
  ibrav = 0, nat = 4, ntyp = 3
/
ATOMIC_SPECIES
Sb 121.76 Sb.upf
Si 28.09 Si.upf
Be 9.01 Be.upf
ATOMIC_POSITIONS crystal
Sb 0.500 0.750 0.750
Si 0.000 0.045 0.045
Si 0.000 0.455 0.455
Be 0.500 0.250 0.250
CELL_PARAMETERS angstrom
-0.594 1.836 -4.199
1.963 -2.919 -1.554
-2.924 -2.414 -0.641
! Energy, eV/atom: -4.3014
! DOS(E_F), states/eV/cell: 1.57
! Total magnetization, μB per formula unit: 0.0
! E_form (uncorrected), eV per atom: 0.372
! SG: Cmmm (65)
! Excess energy over the best structure of this formula in the dataset, meV per atom: 57

=====

# 10
! Be2Si2Sb, relaxed, DFT GGA-PBE; values from VASP
&SYSTEM
  ibrav = 0, nat = 5, ntyp = 3
/
ATOMIC_SPECIES
Sb 121.76 Sb.upf
Si 28.09 Si.upf
Be 9.01 Be.upf
ATOMIC_POSITIONS crystal
Sb 0.000 0.000 0.000
Si 0.750 0.250 0.500
Si 0.250 0.750 0.500
Be 0.391 0.391 0.218
Be 0.609 0.609 0.782
CELL_PARAMETERS angstrom
-0.682 0.505 3.602
3.590 -0.492 0.749
2.296 5.275 1.596
! Energy, eV/atom: -4.0962
! DOS(E_F), states/eV/cell: 1.44
! Total magnetization, μB per formula unit: 0.0
! E_form (uncorrected), eV per atom: 0.388
! SG: I4/mmm (139)
! Excess energy over the best structure of this formula in the dataset, meV per atom: 0

=====

# 11
! BeSi2Sb, relaxed, DFT GGA-PBE; values from VASP
&SYSTEM
  ibrav = 0, nat = 4, ntyp = 3
/
ATOMIC_SPECIES
Sb 121.76 Sb.upf
Si 28.09 Si.upf
Be 9.01 Be.upf
ATOMIC_POSITIONS crystal
Sb 0.331 0.331 0.371
Si 0.899 0.899 0.954
Si 0.607 0.607 0.804
Be 0.663 0.663 0.371
CELL_PARAMETERS angstrom
-0.519 -3.506 -1.981
-0.561 -3.454 2.058
-5.636 -0.823 -0.049
! Energy, eV/atom: -4.3587
! DOS(E_F), states/eV/cell: 0.94
! Total magnetization, μB per formula unit: 0.0
! E_form (uncorrected), eV per atom: 0.315
! SG: Cm (8)
! Excess energy over the best structure of this formula in the dataset, meV per atom: 0

=====

# 12
! BeSi2Sb, relaxed, DFT GGA-PBE; values from VASP
&SYSTEM
  ibrav = 0, nat = 4, ntyp = 3
/
ATOMIC_SPECIES
Sb 121.76 Sb.upf
Si 28.09 Si.upf
Be 9.01 Be.upf
ATOMIC_POSITIONS crystal
Sb 0.750 0.250 0.500
Si 0.000 0.000 0.000
Si 0.500 0.500 0.000
Be 0.250 0.750 0.500
CELL_PARAMETERS angstrom
-4.134 2.520 3.054
-2.007 -1.745 5.069
4.843 1.064 -2.861
! Energy, eV/atom: -4.0523
! DOS(E_F), states/eV/cell: 1.78
! Total magnetization, μB per formula unit: 0.0
! E_form (uncorrected), eV per atom: 0.621
! SG: I4/mmm (139)
! Excess energy over the best structure of this formula in the dataset, meV per atom: 306